(1)
La2BeTc | PBE | relaxed

The structure in POSCAR format:
```
La2BeTc
1.0
3.392 0.000 0.000
0.000 3.392 0.000
0.000 0.000 8.195
Tc La Be
1 2 1
Direct
0.000 0.000 0.373
0.000 0.000 0.676
0.500 0.500 0.101
0.500 0.500 0.442
```

Properties
Calculated total energy ... -5.960 eV per atom
Formation energy ... 0.6 kcal/mol of atoms
Symmetry ... P4mm, No. 99



(2)
LaBeTc2 | PBE | relaxed

The structure in POSCAR format:
```
LaBeTc2
1.0
-3.599 2.050 2.006
-4.598 -0.181 0.037
-0.757 -3.206 4.018
Tc La Be
2 1 1
Direct
0.534 0.534 0.422
0.966 0.966 0.078
0.750 0.750 0.750
0.250 0.250 0.250
```

Properties
Calculated total energy ... -7.058 eV per atom
Formation energy ... 6.7 kcal/mol of atoms
Symmetry ... C2/m, No. 12



(3)
LaBeTc2 | PBE | relaxed

The structure in POSCAR format:
```
LaBeTc2
1.0
-2.039 -1.812 -3.709
1.568 -3.940 -1.794
-2.484 -3.857 0.392
Tc Be La
2 1 1
Direct
0.250 0.250 0.250
0.000 0.000 0.000
0.500 0.500 0.500
0.750 0.750 0.750
```

Properties
Calculated total energy ... -6.863 eV per atom
Formation energy ... 11.2 kcal/mol of atoms
Symmetry ... F-43m, No. 216